A plane-wave DFT calculation with PBE was carried out for an optimized crystal structure of Cd2IrCl8.

Structure (POSCAR):
```
Cd2IrCl8
1.0
7.660 -3.328 0.000
7.660 3.328 0.000
-0.279 0.000 6.439
Cd Ir Cl
2 1 8
Direct
0.154 0.154 0.463
0.846 0.846 0.537
0.000 0.000 0.000
0.138 0.138 0.862
0.190 0.710 0.758
0.290 0.810 0.242
0.308 0.308 0.408
0.692 0.692 0.592
0.710 0.190 0.758
0.810 0.290 0.242
0.862 0.862 0.138
```

Values from the calculation:
* symmetry: No. 12
* calculated volume: 328.35 Å³/cell
* magnetization: 1.1 Bohr magnetons per cell
* total DFT energy (no corrections): -3.03 eV per atom


A plane-wave DFT calculation with PBE was carried out for an optimized crystal structure of LaAlRu.

Structure (POSCAR):
```
LaAlRu
1.0
-1.642 1.642 5.718
1.642 -1.642 5.718
1.642 1.642 -5.718
La Al Ru
1 1 1
Direct
0.000 0.000 0.000
0.724 0.724 0.000
0.320 0.320 0.000
```

Values from the calculation:
* symmetry: No. 107
* calculated volume: 61.70 Å³/cell
* magnetization: 0.0 Bohr magnetons per cell
* total DFT energy (no corrections): -6.35 eV per atom
* E_form: -372.0 meV per atom


Question: Among the records above, which one has the highest calculated volume?
Answer: Cd2IrCl8